Record 1
A geometry-optimized Ho2Co12Ni5 structure. Source: OQMD, functional GGA-PBE.

energy of formation: 0.016 eV/atom
raw total energy: -6.419 eV per atom

Cell: 8.263 8.263 7.988 Å, 90.00 90.00 120.00°
Sites, in units of the cell vectors:
1 Ho 0.000 0.000 0.250
2 Ho 0.000 0.000 0.750
3 Ho 0.333 0.667 0.250
4 Ho 0.667 0.333 0.750
5 Co 0.049 0.375 0.750
6 Co 0.049 0.674 0.750
7 Co 0.163 0.326 0.025
8 Co 0.163 0.326 0.475
9 Co 0.163 0.837 0.025
10 Co 0.163 0.837 0.475
11 Co 0.326 0.163 0.525
12 Co 0.326 0.163 0.975
13 Co 0.326 0.375 0.750
14 Co 0.326 0.951 0.750
15 Co 0.375 0.049 0.250
16 Co 0.375 0.326 0.250
17 Co 0.625 0.674 0.750
18 Co 0.625 0.951 0.750
19 Co 0.674 0.049 0.250
20 Co 0.674 0.625 0.250
21 Co 0.674 0.837 0.025
22 Co 0.674 0.837 0.475
23 Co 0.837 0.163 0.525
24 Co 0.837 0.163 0.975
25 Co 0.837 0.674 0.525
26 Co 0.837 0.674 0.975
27 Co 0.951 0.326 0.250
28 Co 0.951 0.625 0.250
29 Ni 0.000 0.500 0.000
30 Ni 0.000 0.500 0.500
31 Ni 0.333 0.667 0.599
32 Ni 0.333 0.667 0.901
33 Ni 0.500 0.000 0.000
34 Ni 0.500 0.000 0.500
35 Ni 0.500 0.500 0.000
36 Ni 0.500 0.500 0.500
37 Ni 0.667 0.333 0.099
38 Ni 0.667 0.333 0.401

***

Record 2
A geometry-optimized SrPmTh structure. Source: OQMD, functional GGA-PBE.

distance to the lowest polymorph of the same formula: 0 meV per atom
raw total energy: -3.665 eV per atom

Cell: 5.694 5.694 5.694 Å, 60.00 60.00 60.00°
Sites, in units of the cell vectors:
1 Sr 0.000 0.000 0.000
2 Pm 0.250 0.250 0.250
3 Th 0.500 0.500 0.500

***

Record 3
A geometry-optimized Ga2FeGe structure. Source: OQMD, functional GGA-PBE.

raw total energy: -4.435 eV per atom

Cell: 4.485 4.485 4.485 Å, 60.00 60.00 60.00°
Sites, in units of the cell vectors:
1 Ga 0.000 0.000 0.000
2 Ga 0.250 0.250 0.250
3 Fe 0.750 0.750 0.750
4 Ge 0.500 0.500 0.500

***

Record 4
A geometry-optimized Cs2PdO2 structure. Source: OQMD, functional GGA-PBE.

raw total energy: -4.235 eV per atom

Cell: 7.022 7.022 8.199 Å, 121.47 121.47 51.30°
Sites, in units of the cell vectors:
1 Cs 0.049 0.049 0.283
2 Cs 0.313 0.313 0.894
3 Cs 0.687 0.687 0.106
4 Cs 0.951 0.951 0.717
5 Pd 0.380 0.380 0.383
6 Pd 0.620 0.620 0.617
7 O 0.204 0.204 0.132
8 O 0.478 0.478 0.677
9 O 0.522 0.522 0.323
10 O 0.796 0.796 0.868

***

Record 5
A geometry-optimized PmAlAsO structure. Source: OQMD, functional GGA-PBE.

distance to the lowest polymorph of the same formula: 0 meV per atom
raw total energy: -6.179 eV per atom

Cell: 4.122 4.122 8.891 Å, 90.00 90.00 90.00°
Sites, in units of the cell vectors:
1 Pm 0.250 0.250 0.124
2 Pm 0.750 0.750 0.876
3 Al 0.250 0.750 0.500
4 Al 0.750 0.250 0.500
5 As 0.250 0.250 0.672
6 As 0.750 0.750 0.328
7 O 0.250 0.750 0.000
8 O 0.750 0.250 0.000

***

Record 6
A geometry-optimized LaTlHgS3 structure. Source: OQMD, functional GGA-PBE.

distance to the lowest polymorph of the same formula: 48 meV per atom
raw total energy: -4.304 eV per atom

Cell: 8.377 4.455 16.661 Å, 90.00 90.00 90.00°
Sites, in units of the cell vectors:
1 La 0.243 0.250 0.043
2 La 0.257 0.750 0.543
3 La 0.743 0.250 0.457
4 La 0.757 0.750 0.957
5 Tl 0.066 0.250 0.788
6 Tl 0.434 0.750 0.288
7 Tl 0.566 0.250 0.712
8 Tl 0.934 0.750 0.212
9 Hg 0.131 0.250 0.356
10 Hg 0.369 0.750 0.856
11 Hg 0.631 0.250 0.144
12 Hg 0.869 0.750 0.644
13 S 0.007 0.250 0.585
14 S 0.122 0.750 0.953
15 S 0.199 0.250 0.209
16 S 0.301 0.750 0.709
17 S 0.378 0.250 0.453
18 S 0.493 0.750 0.085
19 S 0.507 0.250 0.915
20 S 0.622 0.750 0.547
21 S 0.699 0.250 0.291
22 S 0.801 0.750 0.791
23 S 0.878 0.250 0.047
24 S 0.993 0.750 0.415

***

Record 7
A geometry-optimized HfNi2Sn structure. Source: OQMD, functional GGA-PBE.

raw total energy: -6.614 eV per atom

Cell: 4.275 4.275 3.458 Å, 90.00 90.00 90.00°
Sites, in units of the cell vectors:
1 Hf 0.000 0.000 0.000
2 Ni 0.000 0.500 0.500
3 Ni 0.500 0.000 0.500
4 Sn 0.500 0.500 0.000

***

Record 8
A geometry-optimized Ta2CoW structure. Source: OQMD, functional GGA-PBE.

energy of formation: 0.116 eV/atom
raw total energy: -10.827 eV per atom

Cell: 4.471 4.471 4.471 Å, 60.00 60.00 60.00°
Sites, in units of the cell vectors:
1 Ta 0.000 0.000 0.000
2 Ta 0.250 0.250 0.250
3 Co 0.750 0.750 0.750
4 W 0.500 0.500 0.500

***

Record 9
A geometry-optimized NaDyHgSe3 structure. Source: OQMD, functional GGA-PBE.

distance to the lowest polymorph of the same formula: 1 meV per atom
raw total energy: -3.885 eV per atom

Cell: 13.861 4.173 11.311 Å, 90.00 90.00 90.00°
Sites, in units of the cell vectors:
1 Na 0.239 0.250 0.084
2 Na 0.261 0.750 0.584
3 Na 0.739 0.250 0.416
4 Na 0.761 0.750 0.916
5 Dy 0.019 0.250 0.346
6 Dy 0.481 0.750 0.846
7 Dy 0.519 0.250 0.154
8 Dy 0.981 0.750 0.654
9 Hg 0.009 0.750 0.104
10 Hg 0.491 0.250 0.604
11 Hg 0.509 0.750 0.396
12 Hg 0.991 0.250 0.896
13 Se 0.106 0.250 0.572
14 Se 0.114 0.750 0.875
15 Se 0.150 0.750 0.261
16 Se 0.350 0.250 0.761
17 Se 0.386 0.250 0.375
18 Se 0.394 0.750 0.072
19 Se 0.606 0.250 0.928
20 Se 0.614 0.750 0.625
21 Se 0.650 0.750 0.239
22 Se 0.850 0.250 0.739
23 Se 0.886 0.250 0.125
24 Se 0.894 0.750 0.428

***

Record 10
A geometry-optimized ZnS2 structure. Source: OQMD, functional GGA-PBE.

raw total energy: -2.946 eV per atom

Cell: 5.700 5.700 3.686 Å, 90.00 90.00 90.00°
Sites, in units of the cell vectors:
1 Zn 0.000 0.000 0.000
2 Zn 0.500 0.500 0.500
3 S 0.180 0.180 0.500
4 S 0.320 0.680 0.000
5 S 0.680 0.320 0.000
6 S 0.820 0.820 0.500

***

Record 11
A geometry-optimized K2ScOsO6 structure. Source: OQMD, functional GGA-PBE.

distance to the lowest polymorph of the same formula: 1772 meV per atom
raw total energy: -5.087 eV per atom

Cell: 3.462 3.462 11.102 Å, 90.00 90.00 90.00°
Sites, in units of the cell vectors:
1 K 0.000 0.000 0.223
2 K 0.000 0.000 0.777
3 Sc 0.500 0.500 0.500
4 Os 0.500 0.500 0.000
5 O 0.000 0.000 0.000
6 O 0.000 0.000 0.500
7 O 0.000 0.500 0.382
8 O 0.000 0.500 0.618
9 O 0.500 0.000 0.382
10 O 0.500 0.000 0.618

***

Record 12
A geometry-optimized PmErZr structure. Source: OQMD, functional GGA-PBE.

energy of formation: 0.930 eV/atom
distance to the lowest polymorph of the same formula: 0 meV per atom
raw total energy: -5.022 eV per atom

Cell: 5.197 5.197 5.197 Å, 60.00 60.00 60.00°
Sites, in units of the cell vectors:
1 Pm 0.000 0.000 0.000
2 Er 0.250 0.250 0.250
3 Zr 0.500 0.500 0.500

***

Record 13
A geometry-optimized Pm2ZnCo2 structure. Source: OQMD, functional GGA-PBE.

energy of formation: -0.193 eV/atom
raw total energy: -5.186 eV per atom

Cell: 5.486 5.486 7.688 Å, 102.74 102.74 59.43°
Sites, in units of the cell vectors:
1 Pm 0.009 0.702 0.855
2 Pm 0.298 0.991 0.645
3 Pm 0.702 0.009 0.355
4 Pm 0.991 0.298 0.145
5 Zn 0.369 0.631 0.250
6 Zn 0.631 0.369 0.750
7 Co 0.203 0.504 0.492
8 Co 0.496 0.797 0.008
9 Co 0.504 0.203 0.992
10 Co 0.797 0.496 0.508

***

Record 14
A geometry-optimized KPOsO structure. Source: OQMD, functional GGA-PBE.

distance to the lowest polymorph of the same formula: 65 meV per atom
raw total energy: -6.123 eV per atom

Cell: 3.694 6.430 7.041 Å, 90.00 90.00 90.00°
Sites, in units of the cell vectors:
1 K 0.000 0.177 0.000
2 K 0.000 0.823 0.500
3 P 0.500 0.423 0.704
4 P 0.500 0.577 0.204
5 Os 0.500 0.320 0.407
6 Os 0.500 0.680 0.907
7 O 0.000 0.212 0.379
8 O 0.000 0.788 0.879

***

Record 15
A geometry-optimized NaNdSnSe3 structure. Source: OQMD, functional GGA-PBE.

raw total energy: -4.392 eV per atom

Cell: 7.303 7.303 11.529 Å, 90.00 90.00 143.33°
Sites, in units of the cell vectors:
1 Na 0.249 0.751 0.750
2 Na 0.751 0.249 0.250
3 Nd 0.500 0.500 0.000
4 Nd 0.500 0.500 0.500
5 Sn 0.019 0.981 0.250
6 Sn 0.981 0.019 0.750
7 Se 0.137 0.863 0.052
8 Se 0.137 0.863 0.448
9 Se 0.400 0.600 0.250
10 Se 0.600 0.400 0.750
11 Se 0.863 0.137 0.552
12 Se 0.863 0.137 0.948

***

Record 16
A geometry-optimized Cu7Ag3 structure. Source: OQMD, functional GGA-PBE.

energy of formation: 0.077 eV/atom
distance to the lowest polymorph of the same formula: 32 meV per atom
raw total energy: -3.372 eV per atom

Cell: 7.361 7.361 5.496 Å, 100.69 100.69 27.95°
Sites, in units of the cell vectors:
1 Cu 0.000 0.000 0.000
2 Cu 0.000 0.000 0.474
3 Cu 0.179 0.179 0.077
4 Cu 0.179 0.179 0.576
5 Cu 0.405 0.405 0.190
6 Cu 0.590 0.590 0.282
7 Cu 0.593 0.593 0.784
8 Ag 0.404 0.404 0.689
9 Ag 0.786 0.786 0.377
10 Ag 0.788 0.788 0.886

***

Record 17
A geometry-optimized PaAgSn structure. Source: OQMD, functional GGA-PBE.

raw total energy: -5.346 eV per atom

Cell: 4.796 4.796 4.796 Å, 60.00 60.00 60.00°
Sites, in units of the cell vectors:
1 Pa 0.000 0.000 0.000
2 Ag 0.250 0.250 0.250
3 Sn 0.500 0.500 0.500